DFT (GGA-PBE) results for a geometry-optimized Pr4Al3Tl structure.

Lattice parameters (Å, degrees): 3.785 3.785 15.399 90.00 90.00 90.00
Sites, in units of the cell vectors:
Pr: 0.000 0.000 0.863
Pr: 0.000 0.000 0.137
Pr: 0.000 0.000 0.380
Pr: 0.000 0.000 0.620
Tl: 0.500 0.500 0.000
Al: 0.500 0.500 0.258
Al: 0.500 0.500 0.500
Al: 0.500 0.500 0.742

* energy of formation: -2.8 eV/f.u.
* volume: 220.6 Å³/f.u.
* DFT total energy: -35.52 eV for the cell shown
* space group: P4/mmm (123)